Below is a geometry-optimized LiBeOs structure, with properties calculated at the PBE level.

```
data_LiBeOs
_chemical_formula_sum 'Li2 Be2 Os2'
_space_group_name_H-M_alt 'I 4 m m'
_space_group_IT_number 107
_space_group_name_Hall 'I 4 -2'
_cell_length_a 2.806
_cell_length_b 2.806
_cell_length_c 9.187
_cell_angle_alpha 90.00
_cell_angle_beta 90.00
_cell_angle_gamma 90.00
loop_
_atom_site_label
_atom_site_type_symbol
_atom_site_fract_x
_atom_site_fract_y
_atom_site_fract_z
_atom_site_occupancy
Li1 Li 0.000 0.000 0.000 1
Be1 Be 0.000 0.000 0.675 1
Os1 Os 0.000 0.000 0.301 1
```

Properties
Polymorph energy (0 for the lowest one)   23 meV/atom
Energy of formation   0.19 eV per atom
Crystal system   tetragonal
Volume   12.06 A^3/atom

---

Below is a geometry-optimized LiBeOs structure, with properties calculated at the PBE level.

```
data_LiBeOs
_chemical_formula_sum 'Li4 Be4 Os4'
_space_group_name_H-M_alt 'F -4 3 m'
_space_group_IT_number 216
_space_group_name_Hall 'F -4 2 3'
_cell_length_a 5.500
_cell_length_b 5.500
_cell_length_c 5.500
_cell_angle_alpha 90.00
_cell_angle_beta 90.00
_cell_angle_gamma 90.00
loop_
_atom_site_label
_atom_site_type_symbol
_atom_site_fract_x
_atom_site_fract_y
_atom_site_fract_z
_atom_site_occupancy
Li1 Li 0.000 0.000 0.000 1
Be1 Be 0.000 0.000 0.500 1
Os1 Os 0.250 0.250 0.250 1
```

Properties
Polymorph energy (0 for the lowest one)   860 meV/atom
Energy of formation   1.03 eV per atom
Crystal system   cubic
Volume   13.86 A^3/atom

---

Below is a geometry-optimized LiBeOs2 structure, with properties calculated at the PBE level.

```
data_LiBeOs2
_chemical_formula_sum 'Li1 Be1 Os2'
_space_group_name_H-M_alt 'P m m m'
_space_group_IT_number 47
_cell_length_a 2.801
_cell_length_b 4.107
_cell_length_c 4.383
_cell_angle_alpha 90.00
_cell_angle_beta 90.00
_cell_angle_gamma 90.00
loop_
_space_group_symop_operation_xyz
'x,y,z'
'-x,-y,-z'
'-x,-y,z'
'x,y,-z'
'x,-y,-z'
'-x,y,z'
'-x,y,-z'
'x,-y,z'
loop_
_atom_site_label
_atom_site_type_symbol
_atom_site_fract_x
_atom_site_fract_y
_atom_site_fract_z
_atom_site_occupancy
Li1 Li 0.000 0.000 0.000 1
Be1 Be 0.500 0.000 0.500 1
Os1 Os 0.000 0.500 0.500 1
Os2 Os 0.500 0.500 0.000 1
```

Properties
Energy of formation   0.21 eV per atom
Crystal system   orthorhombic
Volume   12.60 A^3/atom

---

Below is a geometry-optimized LiBeOs2 structure, with properties calculated at the PBE level.

```
data_LiBeOs2
_chemical_formula_sum 'Li1 Be1 Os2'
_space_group_name_H-M_alt 'P 4/m m m'
_space_group_IT_number 123
_space_group_name_Hall '-P 4 2'
_cell_length_a 3.608
_cell_length_b 3.608
_cell_length_c 3.884
_cell_angle_alpha 90.00
_cell_angle_beta 90.00
_cell_angle_gamma 90.00
loop_
_atom_site_label
_atom_site_type_symbol
_atom_site_fract_x
_atom_site_fract_y
_atom_site_fract_z
_atom_site_occupancy
Li1 Li 0.000 0.000 0.000 1
Be1 Be 0.500 0.500 0.000 1
Os1 Os 0.000 0.500 0.500 1
```

Properties
Energy of formation   0.39 eV per atom
Crystal system   tetragonal
Volume   12.64 A^3/atom

---

> What is the formula in the fourth record?

LiBeOs2